Compound: CuMo2Ru
Source: Alexandria via LeMat-Bulk
Functional: PBE
Structure: relaxed

Lattice parameters (Å, degrees): 3.925 2.749 6.032 62.80 90.00 90.00
Positions (direct):
Ru1 0.500 0.250 0.250
Mo1 0.000 0.505 0.495
Mo2 0.000 0.995 0.005
Cu1 0.500 0.750 0.750

Output
total DFT energy (no corrections)	-8.65	eV/atom
SG	P2/m (10)
density of states at the Fermi level	0.5904	states/eV/atom
formation energy	0.44	eV/f.u.

---

Compound: SrMg2Cd8
Source: Alexandria via LeMat-Bulk
Functional: PBE
Structure: relaxed

Lattice parameters (Å, degrees): 7.439 7.439 5.768 90.00 90.00 90.00
Positions (direct):
Cd1 0.794 0.794 0.748
Cd2 0.206 0.206 0.252
Sr1 0.500 0.500 0.500
Mg1 0.000 0.500 0.000
Cd3 0.794 0.206 0.748
Cd4 0.206 0.206 0.748
Cd5 0.206 0.794 0.252
Cd6 0.206 0.794 0.748
Cd7 0.794 0.206 0.252
Mg2 0.500 0.000 0.000
Cd8 0.794 0.794 0.252

Output
total DFT energy (no corrections)	-1.06	eV/atom
SG	P4/mmm (123)
density of states at the Fermi level	0.5346	states/eV/atom
formation energy	0.52	eV/f.u.

---

Compound: Li8Cd6Pd
Source: Alexandria via LeMat-Bulk
Functional: PBE
Structure: relaxed

Lattice parameters (Å, degrees): 7.999 7.999 6.813 54.05 54.05 60.00
Positions (direct):
Li1 0.752 0.752 0.745
Cd1 0.170 0.626 0.765
Li2 0.950 0.639 0.278
Cd2 0.374 0.561 0.235
Cd3 0.439 0.170 0.765
Li3 0.361 0.866 0.722
Li4 0.050 0.361 0.722
Li5 0.866 0.050 0.722
Pd1 0.000 0.000 0.000
Li6 0.248 0.248 0.255
Cd4 0.561 0.830 0.235
Li7 0.639 0.134 0.278
Li8 0.134 0.950 0.278
Cd5 0.626 0.439 0.765
Cd6 0.830 0.374 0.235

Output
total DFT energy (no corrections)	-1.91	eV/atom
SG	R-3 (148)
density of states at the Fermi level	0.3623	states/eV/atom
formation energy	-2.58	eV/f.u.

---

Compound: CaCO2F
Source: Alexandria via LeMat-Bulk
Functional: PBE
Structure: relaxed

Lattice parameters (Å, degrees): 4.488 4.488 4.261 90.00 90.00 90.00
Each line ends with the local moment (μB).
Positions (direct):
F1 0.000 0.000 0.500  -0.02
C1 0.500 0.500 0.500  0.41
O1 0.500 0.000 0.000  0.26
O2 0.000 0.500 0.000  0.26
Ca1 0.000 0.000 0.000  0.01

Output
total DFT energy (no corrections)	-4.02	eV/atom
SG	P4/mmm (123)
energy relative to the elements, uncorrected	0.583	eV/atom
density of states at the Fermi level	1.0831	states/eV/atom

---

| no. | mass density (g cm⁻³) |
| --- | --- |
| 1 | 10.2 |
| 2 | 5.4 |
| 3 | 5.0 |
| 4 | 2.0 |